# 1
The following is a GGA-PBE calculation of crystalline LiCoCu4 at its relaxed geometry, from the Alexandria database.

Cell and atoms, written as POSCAR:
```
LiCoCu4
1.0
-4.577 -0.420 1.322
-3.260 3.083 -1.655
-3.279 -1.456 -3.163
Li Cu Co
1 4 1
direct
0.750 0.750 0.750
0.375 0.375 0.876
0.876 0.375 0.375
0.375 0.876 0.375
0.375 0.375 0.375
0.000 0.000 0.000
```

Results
D(E_F): 8.7 states/eV/cell
Raw total energy: -24.209 eV/cell
Magnetic moment: 0.273 μB per atom
Formation energy: 1.2 eV/f.u.

***

# 2
The following is a GGA-PBE calculation of crystalline LiCoCu2 at its relaxed geometry, from the Alexandria database.

Cell and atoms, written as POSCAR:
```
LiCoCu2
1.0
2.610 0.000 0.000
0.000 4.247 0.000
0.000 0.000 4.247
Cu Li Co
2 1 1
direct
0.000 0.000 0.000
0.500 0.500 0.000
0.500 0.000 0.500
0.000 0.500 0.500
```

Results
D(E_F): 3.4 states/eV/cell
Raw total energy: -16.546 eV/cell
Distance to the lowest polymorph of the same formula: 103 meV per atom
Magnetic moment: 0.364 μB per atom
Formation energy: 0.7 eV/f.u.

***

# 3
The following is a GGA-PBE calculation of crystalline LiCoCu2 at its relaxed geometry, from the Alexandria database.

Cell and atoms, written as POSCAR:
```
LiCoCu2
1.0
-2.247 -0.265 1.027
0.939 -1.618 1.636
1.558 5.879 4.923
Cu Co Li
2 1 1
direct
0.500 0.500 0.240
0.000 0.000 0.999
0.500 0.500 0.760
0.000 0.000 0.501
```

Results
D(E_F): 3.1 states/eV/cell
Raw total energy: -16.785 eV/cell
Distance to the lowest polymorph of the same formula: 43 meV per atom
Magnetic moment: 0.423 μB per atom
Formation energy: 0.4 eV/f.u.

***

# 4
The following is a GGA-PBE calculation of crystalline LiCoCu2 at its relaxed geometry, from the Alexandria database.

Cell and atoms, written as POSCAR:
```
LiCoCu2
1.0
8.663 -0.008 -0.005
8.296 2.494 -0.005
8.296 1.216 2.177
Li Cu Co
1 2 1
direct
0.250 0.250 0.250
0.002 0.002 0.002
0.498 0.498 0.498
0.750 0.750 0.750
```

Results
D(E_F): 2.1 states/eV/cell
Raw total energy: -16.880 eV/cell
Distance to the lowest polymorph of the same formula: 20 meV per atom
Magnetic moment: 0.295 μB per atom
Formation energy: 0.3 eV/f.u.

***

# 5
The following is a GGA-PBE calculation of crystalline Li2CoCu2 at its relaxed geometry, from the Alexandria database.

Cell and atoms, written as POSCAR:
```
Li2CoCu2
1.0
6.823 0.000 0.000
0.000 6.823 0.000
0.000 0.000 2.562
Li Cu Co
4 4 2
direct
0.876 0.624 0.000
0.124 0.376 0.000
0.376 0.876 0.000
0.624 0.124 0.000
0.322 0.178 0.500
0.822 0.322 0.500
0.678 0.822 0.500
0.178 0.678 0.500
0.500 0.500 0.000
0.000 0.000 0.000
```

Results
D(E_F): 4.4 states/eV/cell
Raw total energy: -35.865 eV/cell
Distance to the lowest polymorph of the same formula: 0 meV per atom
Magnetic moment: 0.313 μB per atom
Formation energy: 1.2 eV/f.u.

***

# 6
The following is a GGA-PBE calculation of crystalline LiCoCu2 at its relaxed geometry, from the Alexandria database.

Cell and atoms, written as POSCAR:
```
LiCoCu2
1.0
-1.359 -0.041 -2.051
-2.333 -2.497 1.596
-2.847 3.817 1.811
Co Cu Li
1 2 1
direct
0.500 0.500 0.750
0.000 0.000 0.993
0.000 0.000 0.507
0.500 0.500 0.250
```

Results
D(E_F): 3.8 states/eV/cell
Raw total energy: -16.806 eV/cell
Distance to the lowest polymorph of the same formula: 38 meV per atom
Magnetic moment: 0.371 μB per atom
Formation energy: 0.4 eV/f.u.

***

# 7
The following is a GGA-PBE calculation of crystalline LiCoCu2 at its relaxed geometry, from the Alexandria database.

Cell and atoms, written as POSCAR:
```
LiCoCu2
1.0
4.974 0.007 0.014
2.451 4.328 -0.014
-3.128 -3.168 2.218
Cu Li Co
2 1 1
direct
0.005 0.005 0.000
0.495 0.495 0.000
0.750 0.250 0.500
0.250 0.750 0.500
```

Results
D(E_F): 3.1 states/eV/cell
Raw total energy: -16.509 eV/cell
Distance to the lowest polymorph of the same formula: 112 meV per atom
Magnetic moment: 0.344 μB per atom
Formation energy: 0.7 eV/f.u.

***

# 8
The following is a GGA-PBE calculation of crystalline LiCoCu2 at its relaxed geometry, from the Alexandria database.

Cell and atoms, written as POSCAR:
```
LiCoCu2
1.0
-1.904 -4.664 -0.240
0.838 -3.304 3.717
-1.942 4.339 -1.685
Li Cu Co
1 2 1
direct
0.502 0.502 0.000
0.000 0.000 0.000
0.758 0.258 0.500
0.240 0.740 0.500
```

Results
D(E_F): 4.0 states/eV/cell
Raw total energy: -16.659 eV/cell
Distance to the lowest polymorph of the same formula: 75 meV per atom
Magnetic moment: 0.332 μB per atom
Formation energy: 0.6 eV/f.u.

***

# 9
The following is a GGA-PBE calculation of crystalline LiCoCu2 at its relaxed geometry, from the Alexandria database.

Cell and atoms, written as POSCAR:
```
LiCoCu2
1.0
-0.359 -2.650 -3.336
0.435 -3.878 1.749
-2.653 3.142 1.173
Cu Co Li
2 1 1
direct
0.500 0.500 0.000
0.000 0.000 0.000
0.750 0.250 0.500
0.250 0.750 0.500
```

Results
D(E_F): 5.1 states/eV/cell
Raw total energy: -16.559 eV/cell
Distance to the lowest polymorph of the same formula: 100 meV per atom
Magnetic moment: 0.347 μB per atom
Formation energy: 0.7 eV/f.u.

***

# 10
The following is a GGA-PBE calculation of crystalline Li4CoCu at its relaxed geometry, from the Alexandria database.

Cell and atoms, written as POSCAR:
```
Li4CoCu
1.0
1.176 -1.110 4.494
2.068 3.267 2.804
-2.431 1.903 3.644
Li Cu Co
4 1 1
direct
0.375 0.375 0.874
0.874 0.375 0.375
0.375 0.874 0.375
0.375 0.375 0.375
0.000 0.000 0.000
0.750 0.750 0.750
```

Results
D(E_F): 6.9 states/eV/cell
Raw total energy: -16.667 eV/cell
Magnetic moment: 0.148 μB per atom
Formation energy: 2.2 eV/f.u.

***

# 11
The following is a GGA-PBE calculation of crystalline LiCoCu at its relaxed geometry, from the Alexandria database.

Cell and atoms, written as POSCAR:
```
LiCoCu
1.0
6.827 -0.050 0.038
6.204 2.336 -0.121
0.622 -0.794 2.256
Co Li Cu
1 1 1
direct
0.999 0.999 0.001
0.666 0.666 0.334
0.335 0.335 0.665
```

Results
D(E_F): 2.3 states/eV/cell
Raw total energy: -12.755 eV/cell
Distance to the lowest polymorph of the same formula: 17 meV per atom
Magnetic moment: 0.517 μB per atom
Formation energy: 0.4 eV/f.u.

***

# 12
The following is a GGA-PBE calculation of crystalline LiMgCoCu2 at its relaxed geometry, from the Alexandria database.

Cell and atoms, written as POSCAR:
```
LiMgCoCu2
1.0
-1.611 0.382 4.149
-2.329 -3.569 -0.576
3.392 -2.462 1.544
Co Mg Cu Li
1 1 2 1
direct
0.000 0.000 0.000
0.500 0.500 0.500
0.000 0.000 0.500
0.500 0.000 0.000
0.000 0.500 0.000
```

Results
D(E_F): 4.6 states/eV/cell
Raw total energy: -16.015 eV/cell
Magnetic moment: 0.268 μB per atom
Formation energy: 2.8 eV/f.u.